Record 1
Computed, not measured: a geometry-optimized AsIrNO structure at the GGA-PBE level of DFT.

Unit cell a=2.871 b=5.776 c=5.816 alpha=90.00 beta=90.00 gamma=90.00
Sites, in units of the cell vectors:
As  0.000  0.101  0.000
As  0.000  0.899  0.500
Ir  0.500  0.288  0.501
Ir  0.500  0.712  0.001
N  0.000  0.300  0.740
N  0.000  0.700  0.240
O  0.500  0.318  0.138
O  0.500  0.682  0.638

total magnetic moment = 0.01 μB per cell
polymorph energy (0 for the lowest one) = 281 meV per atom
space group = No. 26

Record 2
Computed, not measured: a geometry-optimized NaAsIr structure at the GGA-PBE level of DFT.

Unit cell a=4.260 b=4.260 c=4.260 alpha=60.00 beta=60.00 gamma=60.00
Sites, in units of the cell vectors:
Na  0.000  0.000  0.000
As  0.750  0.750  0.750
Ir  0.500  0.500  0.500

total DFT energy (no corrections) = -14.3 eV per cell
total magnetic moment = 0.01 μB per cell
space group = No. 216

Record 3
Computed, not measured: a geometry-optimized NaAs2Ir2 structure at the GGA-PBE level of DFT.

Unit cell a=6.654 b=6.654 c=6.654 alpha=144.50 beta=144.50 gamma=51.08
Sites, in units of the cell vectors:
Na  0.000  0.000  0.000
As  0.367  0.367  0.000
As  0.633  0.633  0.000
Ir  0.250  0.750  0.500
Ir  0.750  0.250  0.500

total DFT energy (no corrections) = -30.2 eV per cell
total magnetic moment = 0.00 μB per cell
space group = No. 139

Record 4
Computed, not measured: a geometry-optimized NaAsIr structure at the GGA-PBE level of DFT.

Unit cell a=4.295 b=4.295 c=4.295 alpha=60.00 beta=60.00 gamma=60.00
Sites, in units of the cell vectors:
Na  0.000  0.000  0.000
As  0.750  0.750  0.750
Ir  0.250  0.250  0.250

total DFT energy (no corrections) = -11.8 eV per cell
total magnetic moment = 0.02 μB per cell
space group = No. 216

Record 5
Computed, not measured: a geometry-optimized Na5As3Ir3 structure at the GGA-PBE level of DFT.

Unit cell a=8.962 b=8.962 c=4.517 alpha=90.00 beta=90.00 gamma=120.00
Sites, in units of the cell vectors:
Na  0.000  0.727  0.000
Na  0.273  0.273  0.000
Na  0.333  0.667  0.000
Na  0.667  0.333  0.000
Na  0.727  0.000  0.000
As  0.000  0.363  0.000
As  0.363  0.000  0.000
As  0.637  0.637  0.000
Ir  0.000  0.374  0.500
Ir  0.374  0.000  0.500
Ir  0.626  0.626  0.500

total DFT energy (no corrections) = -44.8 eV per cell
total magnetic moment = 0.01 μB per cell
space group = No. 189

Record 6
Computed, not measured: a geometry-optimized NaAs2IrPd structure at the GGA-PBE level of DFT.

Unit cell a=6.357 b=6.357 c=6.357 alpha=141.82 beta=141.82 gamma=55.10
Sites, in units of the cell vectors:
Na  0.000  0.000  0.000
As  0.373  0.373  0.000
As  0.627  0.627  0.000
Ir  0.250  0.750  0.500
Pd  0.750  0.250  0.500

total DFT energy (no corrections) = -26.3 eV per cell
total magnetic moment = 0.01 μB per cell
space group = No. 119

Record 7
Computed, not measured: a geometry-optimized NaScAsIr structure at the GGA-PBE level of DFT.

Unit cell a=4.643 b=4.643 c=4.643 alpha=60.00 beta=60.00 gamma=60.00
Sites, in units of the cell vectors:
Na  0.000  0.000  0.000
Sc  0.500  0.500  0.500
As  0.250  0.250  0.250
Ir  0.750  0.750  0.750

total magnetic moment = 0.01 μB per cell
polymorph energy (0 for the lowest one) = 157 meV per atom
space group = No. 216

Record 8
Computed, not measured: a geometry-optimized NaScAsIr structure at the GGA-PBE level of DFT.

Unit cell a=4.546 b=4.546 c=4.546 alpha=60.00 beta=60.00 gamma=60.00
Sites, in units of the cell vectors:
Na  0.000  0.000  0.000
Sc  0.250  0.250  0.250
As  0.750  0.750  0.750
Ir  0.500  0.500  0.500

total magnetic moment = 0.00 μB per cell
polymorph energy (0 for the lowest one) = 0 meV per atom
space group = No. 216

Record 9
Computed, not measured: a geometry-optimized NaTlAsIr structure at the GGA-PBE level of DFT.

Unit cell a=4.816 b=4.816 c=4.816 alpha=60.00 beta=60.00 gamma=60.00
Sites, in units of the cell vectors:
Na  0.000  0.000  0.000
Tl  0.500  0.500  0.500
As  0.250  0.250  0.250
Ir  0.750  0.750  0.750

total magnetic moment = 0.01 μB per cell
polymorph energy (0 for the lowest one) = 334 meV per atom
space group = No. 216

Record 10
Computed, not measured: a geometry-optimized NaTlAsIr structure at the GGA-PBE level of DFT.

Unit cell a=4.798 b=4.798 c=4.798 alpha=60.00 beta=60.00 gamma=60.00
Sites, in units of the cell vectors:
Na  0.000  0.000  0.000
Tl  0.250  0.250  0.250
As  0.500  0.500  0.500
Ir  0.750  0.750  0.750

total magnetic moment = 0.01 μB per cell
polymorph energy (0 for the lowest one) = 269 meV per atom
space group = No. 216

Record 11
Computed, not measured: a geometry-optimized NaTlAsIr structure at the GGA-PBE level of DFT.

Unit cell a=4.715 b=4.715 c=4.715 alpha=60.00 beta=60.00 gamma=60.00
Sites, in units of the cell vectors:
Na  0.000  0.000  0.000
Tl  0.250  0.250  0.250
As  0.750  0.750  0.750
Ir  0.500  0.500  0.500

total magnetic moment = 0.00 μB per cell
polymorph energy (0 for the lowest one) = 0 meV per atom
space group = No. 216

Record 12
Computed, not measured: a geometry-optimized Nb4As5Ir5 structure at the GGA-PBE level of DFT.

Unit cell a=7.336 b=7.336 c=7.336 alpha=99.80 beta=99.80 gamma=131.27
Sites, in units of the cell vectors:
Nb  0.052  0.153  0.703
Nb  0.451  0.349  0.297
Nb  0.651  0.948  0.101
Nb  0.847  0.549  0.899
As  0.154  0.462  0.122
As  0.340  0.033  0.878
As  0.538  0.660  0.693
As  0.750  0.250  0.500
As  0.967  0.846  0.307
Ir  0.000  0.000  0.000
Ir  0.196  0.592  0.819
Ir  0.408  0.227  0.605
Ir  0.622  0.804  0.395
Ir  0.773  0.378  0.181

total DFT energy (no corrections) = -114.2 eV per cell
total magnetic moment = 0.01 μB per cell
space group = No. 82